The following is a DFT calculation (PBE) of a geometry-optimized La2SmGa structure.

Its space group is No. 11. As for the distance to the lowest polymorph of the same formula: 0.000 eV per atom. The calculation puts the electronic total energy at -4.66 eV/atom. Its energy of formation is -1.1 eV per formula unit.

Lattice parameters (Å, degrees): 5.212 6.902 7.198 110.25 90.00 90.00
Atoms (fractional coordinates):
La 0.250 0.403 0.219
La 0.750 0.597 0.781
La 0.750 0.114 0.888
La 0.250 0.886 0.112
Sm 0.250 0.238 0.615
Sm 0.750 0.762 0.385
Ga 0.750 0.214 0.362
Ga 0.250 0.786 0.638